Density functional theory data (PBE-GGA) for CuTe2PbI after structural relaxation.

## Properties
size of the total moment	0.00	μB per cell
ρ	5.0	Mg/m³
formation energy without anion corrections	0.764	eV per atom
Fermi-level density of states	1.64	states/eV/atom

Cell lengths 5.9027, 5.9027, 6.1648 Å; angles 90.00, 90.00, 90.00 degrees
With the nearest neighbours (Å) after each atom.
Atoms (fractional coordinates):
Cu 0.5000 0.5000 0.5000  4 I 4.17, 8 Te 4.27
Te 0.5000 0.0000 0.0000  2 Pb 2.95
Pb 0.0000 0.0000 0.0000  4 Te 2.95, 2 I 3.08
I 0.0000 0.0000 0.5000  2 Pb 3.08
Te 0.0000 0.5000 0.0000  2 Pb 2.95